Entry 1:
Compound: Cu2ReTc
Source: Alexandria via LeMat-Bulk
Functional: PBE
Structure: relaxed

Unit cell a=3.5890 b=3.6763 c=4.0909 alpha=90.00 beta=90.00 gamma=90.00
Closest atoms and distances in Å follow each position.
Space group Pmmm (No. 47)
One atom of each set of equivalent atoms:
Cu 0.0000 0.0000 0.0000 [1 per cell]  4 Cu 2.57, 4 Tc 2.72, 4 Re 2.75
Cu 0.5000 0.5000 0.0000 [1 per cell]  4 Cu 2.57, 4 Re 2.72, 4 Tc 2.75
Re 0.0000 0.5000 0.5000 [1 per cell]  4 Tc 2.57, 8 Cu 2.72-2.75
Tc 0.5000 0.0000 0.5000 [1 per cell]  4 Re 2.57, 8 Cu 2.72-2.75

## Properties
Energy relative to the lowest polymorph listed for this composition: 3.68 kcal/mol of atoms


Entry 2:
Compound: CuRe2Tc
Source: Alexandria via LeMat-Bulk
Functional: PBE
Structure: relaxed

Unit cell a=7.0356 b=7.0356 c=5.1912 alpha=90.00 beta=90.00 gamma=90.00
Closest atoms and distances in Å follow each position.
Space group I-42d (No. 122)
One atom of each set of equivalent atoms:
Cu 0.0000 0.0000 0.0000 [4 per cell]  2 Tc 2.60, 4 Re 2.70
Re 0.2238 0.7500 0.6250 [8 per cell]  2 Tc 2.45, 2 Re 2.62, 2 Cu 2.70
Tc 0.0000 0.0000 0.5000 [4 per cell]  4 Re 2.45, 2 Cu 2.60

## Properties
Energy relative to the lowest polymorph listed for this composition: 17.73 kcal/mol of atoms


Entry 3:
Compound: CuRe2Tc
Source: Alexandria via LeMat-Bulk
Functional: PBE
Structure: relaxed

Unit cell a=3.1690 b=3.1690 c=5.6678 alpha=90.00 beta=90.00 gamma=90.00
Closest atoms and distances in Å follow each position.
Space group P4mm (No. 99)
One atom of each set of equivalent atoms:
Cu 0.0000 0.0000 0.0000 [1 per cell]  4 Tc 2.60, 6 Re 2.61-2.85
Re 0.0000 0.0000 0.4973 [1 per cell]  4 Re 2.69, 4 Tc 2.72, 2 Cu 2.82-2.85
Re 0.5000 0.5000 0.2357 [1 per cell]  4 Cu 2.61, 1 Tc 2.65, 4 Re 2.69
Tc 0.5000 0.5000 0.7687 [1 per cell]  4 Cu 2.60, 5 Re 2.65-2.72

## Properties
Energy relative to the lowest polymorph listed for this composition: 2.83 kcal/mol of atoms


| no. | calculated formation energy (eV per atom) |
| --- | --- |
| 1 | 0.300 |
| 2 | 0.926 |
| 3 | 0.280 |